No. 1
Below is a relaxed NdDy2Er3Se6 crystal, with properties calculated at the PBE-GGA level.

a b c (Å): 7.0560 7.0560 7.1098
angles (deg): 99.47 99.47 120.27
Fractional positions:
Nd (0.0000, 0.0000, 0.0000)
Dy (0.3347, 0.6653, 0.0000)
Dy (0.6653, 0.3347, 0.0000)
Er (0.1601, 0.8399, 0.5000)
Er (0.5000, 0.5000, 0.5000)
Er (0.8399, 0.1601, 0.5000)
Se (0.0862, 0.4294, 0.2599)
Se (0.2572, 0.2572, 0.7448)
Se (0.4294, 0.0862, 0.2599)
Se (0.5706, 0.9138, 0.7401)
Se (0.7428, 0.7428, 0.2552)
Se (0.9138, 0.5706, 0.7401)

Calculated values
Space group   C2/m (12)
Raw formation energy   -20.9 eV/f.u.
Uncorrected energy   -5.786 eV/atom
Total magnetic moment   0.00 μB per cell

---

No. 2
Below is a relaxed Nd3Dy2ErSe6 crystal, with properties calculated at the PBE-GGA level.

a b c (Å): 7.1238 7.1238 7.3013
angles (deg): 99.35 99.35 120.27
Fractional positions:
Nd (0.0000, 0.0000, 0.0000)
Nd (0.3315, 0.6685, 0.0000)
Nd (0.6685, 0.3315, 0.0000)
Dy (0.1668, 0.8332, 0.5000)
Dy (0.8332, 0.1668, 0.5000)
Er (0.5000, 0.5000, 0.5000)
Se (0.0915, 0.4222, 0.2662)
Se (0.2475, 0.2475, 0.7352)
Se (0.4222, 0.0915, 0.2662)
Se (0.5778, 0.9085, 0.7338)
Se (0.7525, 0.7525, 0.2648)
Se (0.9085, 0.5778, 0.7338)

Calculated values
Space group   C2/m (12)
Raw formation energy   -21.5 eV/f.u.
Uncorrected energy   -5.873 eV/atom
Total magnetic moment   0.00 μB per cell

---

No. 3
Below is a relaxed NdSmDyEr3 crystal, with properties calculated at the PBE-GGA level.

a b c (Å): 9.9969 9.9969 7.1735
angles (deg): 90.15 90.15 32.86
Fractional positions:
Nd (0.0477, 0.0477, 0.2549)
Nd (0.9523, 0.9523, 0.7451)
Sm (0.3521, 0.3521, 0.9629)
Sm (0.6479, 0.6479, 0.0371)
Dy (0.3507, 0.3507, 0.5412)
Dy (0.6493, 0.6493, 0.4588)
Er (0.1674, 0.1674, 0.7438)
Er (0.2195, 0.2195, 0.2498)
Er (0.4760, 0.4760, 0.2542)
Er (0.5240, 0.5240, 0.7458)
Er (0.7805, 0.7805, 0.7502)
Er (0.8326, 0.8326, 0.2562)

Calculated values
Space group   C2/m (12)
Uncorrected energy   -4.436 eV/atom
Total magnetic moment   0.00 μB per cell
Energy of formation   0.193 eV per atom

---

No. 4
Below is a relaxed Nd3Sm2Dy6Er crystal, with properties calculated at the PBE-GGA level.

a b c (Å): 6.2195 6.2195 11.8538
angles (deg): 95.00 95.00 119.98
Fractional positions:
Nd (0.0000, 0.0000, 0.0000)
Nd (0.3334, 0.6666, 0.0000)
Nd (0.6666, 0.3334, 0.0000)
Sm (0.1665, 0.8335, 0.5000)
Sm (0.8335, 0.1665, 0.5000)
Dy (0.0844, 0.4173, 0.2523)
Dy (0.2501, 0.2501, 0.7479)
Dy (0.4173, 0.0844, 0.2523)
Dy (0.5827, 0.9156, 0.7477)
Dy (0.7499, 0.7499, 0.2521)
Dy (0.9156, 0.5827, 0.7477)
Er (0.5000, 0.5000, 0.5000)

Calculated values
Space group   C2/m (12)
Uncorrected energy   -4.645 eV/atom
Total magnetic moment   0.00 μB per cell
Energy of formation   0.015 eV per atom

---

No. 5
Below is a relaxed Nd2SmDyEr4 crystal, with properties calculated at the PBE-GGA level.

a b c (Å): 9.5078 9.5078 9.5078
angles (deg): 138.08 103.21 91.58
Fractional positions:
Nd (0.0000, 0.0000, 0.0000)
Nd (0.5000, 0.0000, 0.0000)
Nd (0.5000, 0.0000, 0.5000)
Nd (0.5000, 0.5000, 0.5000)
Sm (0.0000, 0.5000, 0.5000)
Sm (0.5000, 0.5000, 0.0000)
Dy (0.0000, 0.0000, 0.5000)
Dy (0.0000, 0.5000, 0.0000)
Er (0.2464, 0.7498, 0.4966)
Er (0.2468, 0.2472, 0.5004)
Er (0.2468, 0.2502, 0.9966)
Er (0.2468, 0.7463, 0.9996)
Er (0.7532, 0.2537, 0.0004)
Er (0.7532, 0.7498, 0.0034)
Er (0.7532, 0.7528, 0.4996)
Er (0.7536, 0.2502, 0.5034)

Calculated values
Space group   Imma (74)
Uncorrected energy   -4.216 eV/atom
Total magnetic moment   5.09 μB per cell
Energy of formation   0.423 eV per atom

---

No. 6
Below is a relaxed NdSm2DyEr4 crystal, with properties calculated at the PBE-GGA level.

a b c (Å): 9.4954 9.4954 6.7999
angles (deg): 110.98 110.98 88.51
Fractional positions:
Nd (0.0000, 0.5000, 0.0000)
Nd (0.5000, 0.0000, 0.5000)
Sm (0.0000, 0.0000, 0.0000)
Sm (0.0000, 0.0000, 0.5000)
Sm (0.0000, 0.5000, 0.5000)
Sm (0.5000, 0.0000, 0.0000)
Dy (0.5000, 0.5000, 0.0000)
Dy (0.5000, 0.5000, 0.5000)
Er (0.2520, 0.2525, 0.5034)
Er (0.2522, 0.7479, 0.9995)
Er (0.2521, 0.7478, 0.5005)
Er (0.2525, 0.2520, 0.0034)
Er (0.7475, 0.7480, 0.9966)
Er (0.7478, 0.2521, 0.0005)
Er (0.7479, 0.2522, 0.4995)
Er (0.7480, 0.7475, 0.4966)

Calculated values
Space group   C2/c (15)
Uncorrected energy   -4.205 eV/atom
Total magnetic moment   6.01 μB per cell
Energy of formation   0.428 eV per atom

---

Results for volume: 24.0, 25.2, 32.4, 32.6, 33.3, 33.2 (in Å³/atom, following the order of the records).